The following is a PBE calculation of an optimized crystal structure of Lu2ScTl, from the Alexandria database.

Calculated values
DOS at the Fermi energy, states/eV/f.u.: 2.9
Final energy, eV/atom: -4.589
Magnetic moment, μB/cell: 0.00

a = 3.547 Å, b = 3.547 Å, c = 8.474 Å
α = 90.00°, β = 90.00°, γ = 90.00°
Fractional coordinates of all 4 atoms:
Sc  0.500  0.500  0.500
Tl  0.500  0.500  0.000
Lu  0.000  0.000  0.757
Lu  0.000  0.000  0.243